Record 1
# PdSCl2

A relaxed PdSCl2 crystal (PBE, Alexandria).

Cell lengths 3.2178, 3.2178, 26.1696 Å; angles 90.00, 90.00, 120.00 degrees
Sites, in units of the cell vectors:
Pd1 0.0000 0.0000 0.0000
Pd2 0.3333 0.6667 0.6667
Pd3 0.6667 0.3333 0.3333
S1 0.0000 0.0000 0.5000
S2 0.3333 0.6667 0.1667
S3 0.6667 0.3333 0.8333
Cl1 0.0000 0.0000 0.0865
Cl2 0.0000 0.0000 0.9135
Cl3 0.3333 0.6667 0.5802
Cl4 0.3333 0.6667 0.7531
Cl5 0.6667 0.3333 0.2469
Cl6 0.6667 0.3333 0.4198

Summary:
The value obtained for the distance to the lowest polymorph of the same formula is 395 meV per atom. The calculation puts the total magnetic moment at 0.0 μB/cell. The density of states at the Fermi level is 7.84 states/eV/cell. For the formation energy without anion corrections, the calculation gives 528 meV per atom.

---

Record 2
# Be4Re

A relaxed Be4Re crystal (PBE, Alexandria).

Cell lengths 5.3597, 5.3597, 3.3531 Å; angles 90.00, 90.00, 90.00 degrees
Sites, in units of the cell vectors:
Be1 0.0817 0.3034 0.0000
Be2 0.1966 0.5817 0.5000
Be3 0.3034 0.9183 0.0000
Be4 0.4183 0.1966 0.5000
Be5 0.5817 0.8034 0.5000
Be6 0.6966 0.0817 0.0000
Be7 0.8034 0.4183 0.5000
Be8 0.9183 0.6966 0.0000
Re1 0.0000 0.0000 0.5000
Re2 0.5000 0.5000 0.0000

Summary:
As for the formation energy from the elements: 24 meV per atom. The value obtained for the distance to the lowest polymorph of the same formula is 38 meV per atom. The calculation puts the total magnetic moment at 0.0 μB/cell. The density of states at the Fermi level is 2.22 states/eV/cell.

---

Record 3
# ErSc2Cd

A relaxed ErSc2Cd crystal (PBE, Alexandria).

Cell lengths 7.3200, 7.3200, 7.3200 Å; angles 90.00, 90.00, 90.00 degrees
Sites, in units of the cell vectors:
Er1 0.0000 0.0000 0.0000
Er2 0.0000 0.5000 0.5000
Er3 0.5000 0.0000 0.5000
Er4 0.5000 0.5000 0.0000
Sc1 0.2500 0.2500 0.2500
Sc2 0.2500 0.2500 0.7500
Sc3 0.2500 0.7500 0.2500
Sc4 0.2500 0.7500 0.7500
Sc5 0.7500 0.2500 0.2500
Sc6 0.7500 0.2500 0.7500
Sc7 0.7500 0.7500 0.2500
Sc8 0.7500 0.7500 0.7500
Cd1 0.0000 0.0000 0.5000
Cd2 0.0000 0.5000 0.0000
Cd3 0.5000 0.0000 0.0000
Cd4 0.5000 0.5000 0.5000

Summary:
As for the formation energy from the elements: 9 meV per atom. The value obtained for the distance to the lowest polymorph of the same formula is 140 meV per atom. The calculation puts the total magnetic moment at 3.3 μB/cell. The density of states at the Fermi level is 25.20 states/eV/cell.

---

Record 4
# K2Cu2Hg

A relaxed K2Cu2Hg crystal (PBE, Alexandria).

Cell lengths 6.4478, 6.4478, 7.5979 Å; angles 90.00, 90.00, 90.00 degrees
Sites, in units of the cell vectors:
K1 0.0000 0.5000 0.2500
K2 0.0000 0.5000 0.7500
K3 0.5000 0.0000 0.2500
K4 0.5000 0.0000 0.7500
Cu1 0.0000 0.0000 0.1549
Cu2 0.0000 0.0000 0.8451
Cu3 0.5000 0.5000 0.3451
Cu4 0.5000 0.5000 0.6549
Hg1 0.0000 0.0000 0.5000
Hg2 0.5000 0.5000 0.0000

Summary:
As for the formation energy from the elements: 218 meV per atom. The value obtained for the distance to the lowest polymorph of the same formula is 63 meV per atom. The calculation puts the total magnetic moment at 0.0 μB/cell. The density of states at the Fermi level is 5.13 states/eV/cell.

---

Record 5
# K2NiRh

A relaxed K2NiRh crystal (PBE, Alexandria).

Cell lengths 4.0818, 4.0818, 5.1833 Å; angles 90.00, 90.00, 90.00 degrees
Sites, in units of the cell vectors:
K1 0.0000 0.5000 0.0000
K2 0.5000 0.0000 0.0000
Ni1 0.0000 0.0000 0.5000
Rh1 0.5000 0.5000 0.5000

Summary:
As for the formation energy from the elements: 894 meV per atom. The value obtained for the distance to the lowest polymorph of the same formula is 509 meV per atom. The calculation puts the total magnetic moment at 0.9 μB/cell. The density of states at the Fermi level is 6.02 states/eV/cell.

---

Record 6
# BiBP2Cl

A relaxed BiBP2Cl crystal (PBE, Alexandria).

Cell lengths 4.3919, 4.3919, 4.4411 Å; angles 90.00, 90.00, 90.00 degrees
Sites, in units of the cell vectors:
Bi1 0.0000 0.0000 0.0000
B1 0.5000 0.5000 0.5000
P1 0.0000 0.5000 0.5000
P2 0.5000 0.0000 0.5000
Cl1 0.5000 0.5000 0.0000

Summary:
The value obtained for the distance to the lowest polymorph of the same formula is 0 meV per atom. The calculation puts the total magnetic moment at 0.0 μB/cell. The density of states at the Fermi level is 3.50 states/eV/cell. For the formation energy without anion corrections, the calculation gives 639 meV per atom.

---

Record 7
# AcSmGePt

A relaxed AcSmGePt crystal (PBE, Alexandria).

Cell lengths 7.4790, 7.4790, 7.4790 Å; angles 90.00, 90.00, 90.00 degrees
Sites, in units of the cell vectors:
Ac1 0.0000 0.0000 0.0000
Ac2 0.0000 0.5000 0.5000
Ac3 0.5000 0.0000 0.5000
Ac4 0.5000 0.5000 0.0000
Sm1 0.0000 0.0000 0.5000
Sm2 0.0000 0.5000 0.0000
Sm3 0.5000 0.0000 0.0000
Sm4 0.5000 0.5000 0.5000
Ge1 0.2500 0.2500 0.2500
Ge2 0.2500 0.7500 0.7500
Ge3 0.7500 0.2500 0.7500
Ge4 0.7500 0.7500 0.2500
Pt1 0.2500 0.2500 0.7500
Pt2 0.2500 0.7500 0.2500
Pt3 0.7500 0.2500 0.2500
Pt4 0.7500 0.7500 0.7500

Summary:
As for the formation energy from the elements: -790 meV per atom. The value obtained for the distance to the lowest polymorph of the same formula is 0 meV per atom. The calculation puts the total magnetic moment at 0.0 μB/cell. The density of states at the Fermi level is 5.71 states/eV/cell.

---

Record 8
# La3Mg2Au3

A relaxed La3Mg2Au3 crystal (PBE, Alexandria).

Cell lengths 8.9543, 8.9543, 6.0858 Å; angles 90.00, 90.00, 120.00 degrees
Sites, in units of the cell vectors:
La1 0.0000 0.2739 0.2500
La2 0.0000 0.7261 0.7500
La3 0.2739 0.0000 0.2500
La4 0.2739 0.2739 0.7500
La5 0.7261 0.0000 0.7500
La6 0.7261 0.7261 0.2500
Mg1 0.3333 0.6667 0.0000
Mg2 0.3333 0.6667 0.5000
Mg3 0.6667 0.3333 0.0000
Mg4 0.6667 0.3333 0.5000
Au1 0.0000 0.3911 0.7500
Au2 0.0000 0.6089 0.2500
Au3 0.3911 0.0000 0.7500
Au4 0.3911 0.3911 0.2500
Au5 0.6089 0.0000 0.2500
Au6 0.6089 0.6089 0.7500

Summary:
As for the formation energy from the elements: -660 meV per atom. The calculation puts the total magnetic moment at 0.0 μB/cell. The density of states at the Fermi level is 13.93 states/eV/cell.